Entry from Alexandria via LeMat-Bulk: a geometry-optimized PmZnCr2O6 structure (PBE+U). Values from VASP.

Results
V ... 11.06 A^3/atom
Final energy ... -71.21 eV per cell
Density ... 6.2 Mg/m³

Structure (Quantum ESPRESSO input):
```
&SYSTEM
  ibrav = 0, nat = 10, ntyp = 4
/
ATOMIC_SPECIES
O 16.00 O.upf
Cr 52.00 Cr.upf
Zn 65.41 Zn.upf
Pm 145.00 Pm.upf
ATOMIC_POSITIONS crystal
O 0.6431 0.2644 0.2197
O 0.8798 0.6383 0.2088
O 0.2629 0.8763 0.2123
O 0.1842 0.3534 0.7173
O 0.7363 0.1880 0.7313
O 0.3515 0.7514 0.7087
Cr 0.0147 0.0155 0.9552
Cr 0.5173 0.5177 0.4514
Zn 0.2995 0.2816 0.1254
Pm 0.7723 0.7749 0.6851
CELL_PARAMETERS angstrom
5.3710 -0.0177 0.0573
2.6715 4.6339 -0.0006
2.7303 1.5090 4.4534
```